[1]
Here is crystalline KLi3Tc at its relaxed geometry from Alexandria. Energies are from PBE-GGA.

The total magnetization is 2.51 μB per cell. Its formation enthalpy at 0 K is 0.875 eV/atom. The value obtained for the total energy is -2.5664 eV per atom.

The space group is Pm-3m (No. 221) and the conventional cell measures 5.250, 5.250 and 5.250 Å, with angles of 90.00, 90.00 and 90.00 degrees. The inequivalent atoms are K at (0.000, 0.000, 0.000), Li at (0.000, 0.500, 0.500) and Tc at (0.500, 0.500, 0.500).

---

[2]
Here is crystalline KLiTc2 at its relaxed geometry from Alexandria. Energies are from PBE-GGA.

The total magnetization is 0.00 μB per cell. Its formation enthalpy at 0 K is 1.001 eV/atom. The value obtained for the total energy is -4.9352 eV per atom.

The space group is P4/mmm (No. 123) and the conventional cell measures 3.311, 3.311 and 7.710 Å, with angles of 90.00, 90.00 and 90.00 degrees. The inequivalent atoms are K at (0.000, 0.000, 0.000), Li at (0.000, 0.000, 0.500) and Tc at (0.500, 0.500, 0.363).

---

[3]
Here is crystalline KLiTc2 at its relaxed geometry from Alexandria. Energies are from PBE-GGA.

The total magnetization is 0.00 μB per cell. Its formation enthalpy at 0 K is 0.861 eV/atom. The value obtained for the total energy is -5.0751 eV per atom.

The space group is P4/mmm (No. 123) and the conventional cell measures 2.569, 2.569 and 10.488 Å, with angles of 90.00, 90.00 and 90.00 degrees. The inequivalent atoms are K at (0.000, 0.000, 0.000), Li at (0.000, 0.000, 0.500) and Tc at (0.500, 0.500, 0.285).

---

[4]
Here is crystalline KLiTc2 at its relaxed geometry from Alexandria. Energies are from PBE-GGA.

The total magnetization is 0.00 μB per cell. Its formation enthalpy at 0 K is 0.843 eV/atom. The value obtained for the total energy is -5.0925 eV per atom.

The space group is Immm (No. 71) and the conventional cell measures 2.713, 4.593 and 11.281 Å, with angles of 90.00, 90.00 and 90.00 degrees. The inequivalent atoms are K at (0.000, 0.000, 0.000), Li at (0.000, 0.000, 0.500) and Tc at (0.000, 0.500, 0.227).

---

[5]
Here is crystalline KLi3Tc at its relaxed geometry from Alexandria. Energies are from PBE-GGA.

The total magnetization is 2.52 μB per cell. Its formation enthalpy at 0 K is 1.409 eV/atom. The value obtained for the total energy is -2.0316 eV per atom.

The space group is Pm-3m (No. 221) and the conventional cell measures 4.733, 4.733 and 4.733 Å, with angles of 90.00, 90.00 and 90.00 degrees. The inequivalent atoms are K at (0.000, 0.000, 0.000), Li at (0.000, 0.000, 0.500) and Tc at (0.500, 0.500, 0.500).

---

[6]
Here is crystalline KLiTc3 at its relaxed geometry from Alexandria. Energies are from PBE-GGA.

The total magnetization is 0.00 μB per cell. Its formation enthalpy at 0 K is 1.997 eV/atom. The value obtained for the total energy is -4.8252 eV per atom.

The space group is Pm-3m (No. 221) and the conventional cell measures 4.430, 4.430 and 4.430 Å, with angles of 90.00, 90.00 and 90.00 degrees. The inequivalent atoms are K at (0.000, 0.000, 0.000), Li at (0.500, 0.500, 0.500) and Tc at (0.000, 0.500, 0.500).

---

[7]
Here is crystalline KLiTc2 at its relaxed geometry from Alexandria. Energies are from PBE-GGA.

The total magnetization is 0.00 μB per cell. Its formation enthalpy at 0 K is 0.856 eV/atom. The value obtained for the total energy is -5.0796 eV per atom.

The space group is Cmmm (No. 65) and the conventional cell measures 3.242, 4.024 and 10.581 Å, with angles of 90.00, 90.00 and 90.00 degrees. The inequivalent atoms are K at (0.000, 0.000, 0.000), Li at (0.000, 0.000, 0.500) and Tc at (0.000, 0.500, 0.283).

---

[8]
Here is crystalline KLiTc2 at its relaxed geometry from Alexandria. Energies are from PBE-GGA.

The total magnetization is 0.00 μB per cell. Its formation enthalpy at 0 K is 1.152 eV/atom. The value obtained for the total energy is -4.7835 eV per atom.

The space group is F-43m (No. 216) and the conventional cell measures 6.477, 6.477 and 6.477 Å, with angles of 90.00, 90.00 and 90.00 degrees. The inequivalent atoms are K at (0.000, 0.000, 0.000), Li at (0.250, 0.250, 0.750), Tc at (0.000, 0.000, 0.500) and Tc at (0.250, 0.250, 0.250).